(1)
Here is crystalline Ce2ZnTc2 at its relaxed geometry from Alexandria via LeMat-Bulk. Energies are from PBE.

Computed properties:
As for the energy of formation: -0.137 eV per atom. The distance to the lowest polymorph of the same formula is 27.0 meV per atom. For the total energy, the calculation gives -6.91 eV per atom. The total magnetic moment is 0.00 μB per formula unit.

Cell lengths 5.5124, 5.5124, 9.1047 Å; angles 115.21, 115.21, 59.76 degrees
Closest atoms and distances in Å follow each position.
Sites, in units of the cell vectors:
Ce (0.1979, 0.2409, 0.3583)  1 Tc 2.41
Ce (0.2409, 0.1979, 0.8583)  1 Tc 2.41
Ce (0.7591, 0.8021, 0.1417)  1 Tc 2.41
Ce (0.8021, 0.7591, 0.6417)  1 Tc 2.41
Zn (0.4900, 0.5100, 0.2500)  4 Tc 2.69-2.73
Zn (0.5100, 0.4900, 0.7500)  4 Tc 2.69-2.73
Tc (0.1994, 0.7227, 0.4813)  1 Ce 2.41, 1 Zn 2.69
Tc (0.2773, 0.8006, 0.0187)  1 Ce 2.41, 1 Zn 2.69
Tc (0.7227, 0.1994, 0.9813)  1 Ce 2.41, 1 Zn 2.69
Tc (0.8006, 0.2773, 0.5187)  1 Ce 2.41, 1 Zn 2.69

***

(2)
Here is crystalline CaTbAlCd at its relaxed geometry from Alexandria via LeMat-Bulk. Energies are from PBE.

Computed properties:
As for the energy of formation: -0.326 eV per atom. The distance to the lowest polymorph of the same formula is 0.0 meV per atom. For the total energy, the calculation gives -3.15 eV per atom. The total magnetic moment is 0.00 μB per formula unit.

Cell lengths 3.6466, 3.6466, 7.7901 Å; angles 90.00, 90.00, 90.00 degrees
Closest atoms and distances in Å follow each position.
Sites, in units of the cell vectors:
Ca (0.0000, 0.0000, 0.0000)  4 Al 3.23, 4 Cd 3.29
Tb (0.0000, 0.0000, 0.5199)  4 Al 3.14, 4 Cd 3.27
Al (0.5000, 0.5000, 0.7500)  4 Tb 3.14, 4 Ca 3.23
Cd (0.5000, 0.5000, 0.2628)  4 Tb 3.27, 4 Ca 3.29, 4 Cd 3.65

***

(3)
Here is crystalline Cu2Sn2Te at its relaxed geometry from Alexandria via LeMat-Bulk. Energies are from PBE.

Computed properties:
The distance to the lowest polymorph of the same formula is 110.2 meV per atom. For the total energy, the calculation gives -3.65 eV per atom. The total magnetic moment is 0.00 μB per formula unit.

Cell lengths 4.3468, 4.3468, 11.7366 Å; angles 90.00, 90.00, 90.00 degrees
Closest atoms and distances in Å follow each position.
Sites, in units of the cell vectors:
Cu (0.0000, 0.0000, 0.1032)  1 Cu 2.42
Cu (0.0000, 0.0000, 0.8968)  1 Cu 2.42
Cu (0.5000, 0.5000, 0.3968)  1 Cu 2.42
Cu (0.5000, 0.5000, 0.6032)  1 Cu 2.42
Sn (0.0000, 0.5000, 0.2500)  4 Cu 2.77, 4 Sn 3.07
Sn (0.0000, 0.5000, 0.7500)  4 Cu 2.77, 4 Sn 3.07
Sn (0.5000, 0.0000, 0.2500)  4 Cu 2.77, 4 Sn 3.07
Sn (0.5000, 0.0000, 0.7500)  4 Cu 2.77, 4 Sn 3.07
Te (0.0000, 0.0000, 0.5000)  8 Cu 3.30, 8 Sn 3.65
Te (0.5000, 0.5000, 0.0000)  8 Cu 3.30, 8 Sn 3.65

***

(4)
Here is crystalline MnGe at its relaxed geometry from Alexandria via LeMat-Bulk. Energies are from PBE.

Computed properties:
As for the energy of formation: 0.155 eV per atom. For the total energy, the calculation gives -6.74 eV per atom. The total magnetic moment is 2.94 μB per formula unit.

Cell lengths 4.9908, 4.9908, 5.1026 Å; angles 90.00, 90.00, 90.00 degrees
Closest atoms and distances in Å follow each position.
Sites, in units of the cell vectors:
Mn (0.2074, 0.2074, 0.0000)  6 Ge 2.52-2.55
Mn (0.2926, 0.7074, 0.5000)  6 Ge 2.52-2.55
Mn (0.7074, 0.2926, 0.5000)  6 Ge 2.52-2.55
Mn (0.7926, 0.7926, 0.0000)  6 Ge 2.52-2.55
Ge (0.2091, 0.2091, 0.5000)  6 Mn 2.52-2.55
Ge (0.2909, 0.7091, 0.0000)  6 Mn 2.52-2.55
Ge (0.7091, 0.2909, 0.0000)  6 Mn 2.52-2.55
Ge (0.7909, 0.7909, 0.5000)  6 Mn 2.52-2.55

***

(5)
Here is crystalline Ta2NbRh at its relaxed geometry from Alexandria via LeMat-Bulk. Energies are from PBE.

Computed properties:
As for the energy of formation: -0.274 eV per atom. The distance to the lowest polymorph of the same formula is 0.9 meV per atom. For the total energy, the calculation gives -10.56 eV per atom. The total magnetic moment is 0.00 μB per formula unit.

Cell lengths 6.4753, 6.4753, 6.4753 Å; angles 90.00, 90.00, 90.00 degrees
Closest atoms and distances in Å follow each position.
Sites, in units of the cell vectors:
Ta (0.2500, 0.2500, 0.2500)  4 Rh 2.80, 4 Nb 2.80
Ta (0.2500, 0.2500, 0.7500)  4 Nb 2.80, 4 Rh 2.80
Ta (0.2500, 0.7500, 0.2500)  4 Nb 2.80, 4 Rh 2.80
Ta (0.2500, 0.7500, 0.7500)  4 Nb 2.80, 4 Rh 2.80
Ta (0.7500, 0.2500, 0.2500)  4 Nb 2.80, 4 Rh 2.80
Ta (0.7500, 0.2500, 0.7500)  4 Nb 2.80, 4 Rh 2.80
Ta (0.7500, 0.7500, 0.2500)  4 Nb 2.80, 4 Rh 2.80
Ta (0.7500, 0.7500, 0.7500)  4 Nb 2.80, 4 Rh 2.80
Nb (0.0000, 0.0000, 0.0000)  8 Ta 2.80
Nb (0.0000, 0.5000, 0.5000)  8 Ta 2.80
Nb (0.5000, 0.0000, 0.5000)  8 Ta 2.80
Nb (0.5000, 0.5000, 0.0000)  8 Ta 2.80
Rh (0.0000, 0.0000, 0.5000)  8 Ta 2.80
Rh (0.0000, 0.5000, 0.0000)  8 Ta 2.80
Rh (0.5000, 0.0000, 0.0000)  8 Ta 2.80
Rh (0.5000, 0.5000, 0.5000)  8 Ta 2.80

***

(6)
Here is crystalline GaTc3W at its relaxed geometry from Alexandria via LeMat-Bulk. Energies are from PBE.

Computed properties:
As for the energy of formation: 1.522 eV per atom. The distance to the lowest polymorph of the same formula is 0.0 meV per atom. For the total energy, the calculation gives -7.89 eV per atom. The total magnetic moment is 0.00 μB per formula unit.

Cell lengths 4.4294, 4.4294, 4.4294 Å; angles 90.00, 90.00, 90.00 degrees
Closest atoms and distances in Å follow each position.
Sites, in units of the cell vectors:
Ga (0.0000, 0.0000, 0.0000)  6 Tc 2.21
Tc (0.0000, 0.0000, 0.5000)  2 Ga 2.21
Tc (0.0000, 0.5000, 0.0000)  2 Ga 2.21
Tc (0.5000, 0.0000, 0.0000)  2 Ga 2.21
W (0.5000, 0.5000, 0.5000)  12 Tc 3.13

***

(7)
Here is crystalline Tb8Sm4Ho3 at its relaxed geometry from Alexandria via LeMat-Bulk. Energies are from PBE.

Computed properties:
As for the energy of formation: 0.375 eV per atom. For the total energy, the calculation gives -4.27 eV per atom. The total magnetic moment is 0.01 μB per formula unit.

Cell lengths 9.2699, 9.2699, 6.7699 Å; angles 111.31, 111.31, 87.25 degrees
Closest atoms and distances in Å follow each position.
Sites, in units of the cell vectors:
Tb (0.1405, 0.8595, 0.0000)  7 Tb 3.57-3.66, 4 Ho 3.64-3.83, 2 Sm 3.64
Tb (0.2291, 0.2291, 0.4587)  3 Sm 3.21-3.50, 1 Ho 3.22, 4 Tb 3.23-3.57
Tb (0.2346, 0.2346, 0.9867)  3 Ho 3.20-3.22, 2 Tb 3.23-3.54, 2 Sm 3.51-3.52
Tb (0.2453, 0.7547, 0.5000)  3 Ho 3.14-3.36, 3 Sm 3.26-3.36
Tb (0.7547, 0.2453, 0.5000)  3 Ho 3.14-3.36, 3 Sm 3.26-3.36
Tb (0.7654, 0.7654, 0.0133)  3 Ho 3.20-3.22, 2 Tb 3.23-3.54, 2 Sm 3.51-3.52
Tb (0.7709, 0.7709, 0.5413)  3 Sm 3.21-3.50, 1 Ho 3.22, 4 Tb 3.23-3.57
Tb (0.8595, 0.1405, 0.0000)  7 Tb 3.57-3.66, 4 Ho 3.64-3.83, 2 Sm 3.64
Sm (0.0000, 0.5000, 0.5000)  4 Tb 3.21-3.36, 2 Ho 3.38
Sm (0.5000, 0.0000, 0.5000)  4 Tb 3.21-3.36, 2 Ho 3.38
Sm (0.5000, 0.5000, 0.0000)  2 Sm 3.38, 4 Tb 3.52-3.64
Sm (0.5000, 0.5000, 0.5000)  6 Tb 3.26-3.51, 2 Sm 3.38
Ho (0.0000, 0.0000, 0.5000)  6 Tb 3.14-3.22
Ho (0.0000, 0.5000, 0.0000)  4 Tb 3.20-3.36, 2 Sm 3.38
Ho (0.5000, 0.0000, 0.0000)  4 Tb 3.20-3.36, 2 Sm 3.38

***

(8)
Here is crystalline PaTe3Pd at its relaxed geometry from Alexandria via LeMat-Bulk. Energies are from PBE.

Computed properties:
The distance to the lowest polymorph of the same formula is 0.0 meV per atom. For the total energy, the calculation gives -5.42 eV per atom. The total magnetic moment is 0.00 μB per formula unit.

Cell lengths 4.2431, 9.9412, 7.3973 Å; angles 90.00, 106.59, 90.00 degrees
Closest atoms and distances in Å follow each position.
Sites, in units of the cell vectors:
Pa (0.2351, 0.2500, 0.4704)  8 Te 3.02-3.33
Pa (0.7649, 0.7500, 0.5296)  8 Te 3.02-3.33
Te (0.1641, 0.5694, 0.3273)  1 Pd 2.66
Te (0.1641, 0.9306, 0.3273)  1 Pd 2.66
Te (0.4162, 0.7500, 0.8337)  2 Pd 2.62
Te (0.5838, 0.2500, 0.1663)  2 Pd 2.62
Te (0.8359, 0.0694, 0.6727)  1 Pd 2.66
Te (0.8359, 0.4306, 0.6727)  1 Pd 2.66
Pd (0.0235, 0.7500, 0.0495)  4 Te 2.62-2.66
Pd (0.9765, 0.2500, 0.9505)  4 Te 2.62-2.66

***

(9)
Here is crystalline ThCrS2 at its relaxed geometry from Alexandria via LeMat-Bulk. Energies are from PBE.

Computed properties:
For the total energy, the calculation gives -6.94 eV per atom. The total magnetic moment is 3.83 μB per formula unit.

Cell lengths 3.5978, 3.5978, 24.4108 Å; angles 90.00, 90.00, 120.00 degrees
Closest atoms and distances in Å follow each position.
Sites, in units of the cell vectors:
Th (0.0000, 0.0000, 0.0000)  2 S 2.79
Th (0.3333, 0.6667, 0.6667)  2 S 2.79
Th (0.6667, 0.3333, 0.3333)  2 S 2.79
Cr (0.0000, 0.0000, 0.5000)  6 S 2.44
Cr (0.3333, 0.6667, 0.1667)  6 S 2.44
Cr (0.6667, 0.3333, 0.8333)  6 S 2.44
S (0.0000, 0.0000, 0.1144)  3 Cr 2.44
S (0.0000, 0.0000, 0.8856)  3 Cr 2.44
S (0.3333, 0.6667, 0.5523)  3 Cr 2.44
S (0.3333, 0.6667, 0.7811)  3 Cr 2.44
S (0.6667, 0.3333, 0.2189)  3 Cr 2.44
S (0.6667, 0.3333, 0.4477)  3 Cr 2.44

***

(10)
Here is crystalline TlSbBr2F at its relaxed geometry from Alexandria via LeMat-Bulk. Energies are from PBE.

Computed properties:
For the total energy, the calculation gives -3.27 eV per atom. The total magnetic moment is 0.35 μB per formula unit.

Cell lengths 6.0007, 6.0007, 4.4205 Å; angles 90.00, 90.00, 90.00 degrees
Closest atoms and distances in Å follow each position.
Sites, in units of the cell vectors:
Tl (0.0000, 0.0000, 0.0000)  8 Br 3.73
Sb (0.5000, 0.5000, 0.5000)  2 F 2.21
Br (0.0000, 0.5000, 0.5000)  2 Sb 3.00
Br (0.5000, 0.0000, 0.5000)  2 Sb 3.00
F (0.5000, 0.5000, 0.0000)  2 Sb 2.21